(1)
Below is a geometry-optimized Nb3GeB4 structure, with properties calculated at the PBE level.

The structure in extended XYZ format:
```
8
Lattice="-2.697 -0.676 1.416 -1.347 -0.743 -2.921 2.558 -8.277 0.924" Properties=species:S:1:pos:R:3 pbc="T T T"
B -0.345 -3.584 1.070
Nb -1.531 -2.298 -0.575
Nb 0.605 -4.510 -0.998
B 1.807 -5.847 0.653
Ge 0.000 0.000 0.000
B 0.751 -2.430 0.271
Nb 0.045 -7.396 -0.006
B 0.206 -5.368 1.270
```

E = -8.231 eV per atom
symmetry = Pmmm (47)
crystal system = orthorhombic


(2)
Below is a geometry-optimized Th2ScPt2 structure, with properties calculated at the PBE level.

The structure in extended XYZ format:
```
10
Lattice="-4.215 5.799 -3.300 -6.668 -3.521 2.328 0.118 1.994 3.355" Properties=species:S:1:pos:R:3 pbc="T T T"
Sc -5.441 1.139 -0.486
Th -2.473 2.283 1.002
Sc 0.000 0.000 0.000
Pt -7.875 2.798 -1.386
Pt -3.007 -0.520 0.415
Th -5.160 -0.369 2.673
Pt -3.556 3.203 -1.779
Pt -7.326 -0.925 0.808
Th -5.605 4.641 -0.290
Th -8.292 1.990 1.381
```

E = -7.685 eV per atom
formation energy from the elements = -1032 meV/atom
symmetry = P4/mbm (127)
crystal system = tetragonal